Ac8RhPb2 after structural relaxation, computed with PBE.

a = 4.6595 Å, b = 9.3546 Å, c = 10.4458 Å
α = 97.30°, β = 102.89°, γ = 90.00°
Sites, in units of the cell vectors:
Rh1 0.5000 0.0000 0.0000
Ac1 0.7882 0.6461 0.5764
Ac2 0.2118 0.3539 0.4236
Ac3 0.0026 0.2082 0.0051
Ac4 0.6471 0.0181 0.2942
Ac5 0.3529 0.9819 0.7058
Ac6 0.5953 0.5307 0.1905
Ac7 0.4047 0.4693 0.8095
Ac8 0.9974 0.7918 0.9949
Pb1 0.1829 0.7647 0.3658
Pb2 0.8171 0.2353 0.6342

Values from the calculation:
Calculated volume in Å³ per cell: 440.1
Symmetry: C2/m
Electronic total energy in eV per atom: -4.644
Energy relative to the elements in meV/atom: -314